[1]
Here is a relaxed structure of Ho2RhBr2 from Alexandria via LeMat-Bulk. Energies are from PBE.

Properties
As for the magnetization: 0.00 μB/atom. The space group is C2/m (12). The uncorrected formation energy comes out at -1.317 eV per atom.

abc: 3.933 3.933 11.471
angles: 100.88 100.88 60.03
Positions (direct):
Ho  0.219  0.219  0.143
Ho  0.781  0.781  0.857
Rh  0.500  0.500  0.000
Br  0.052  0.052  0.686
Br  0.948  0.948  0.314

***

[2]
Here is a relaxed structure of HfTcAs2Se from Alexandria via LeMat-Bulk. Energies are from PBE.

Properties
As for the magnetization: 0.75 μB/atom. The space group is P4/mmm (123). The uncorrected formation energy comes out at 0.717 eV per atom.

abc: 5.140 5.140 5.069
angles: 90.00 90.00 90.00
Positions (direct):
Hf  0.000  0.000  0.000
Tc  0.500  0.500  0.500
As  0.000  0.500  0.000
As  0.500  0.000  0.000
Se  0.000  0.000  0.500

***

Q: Among the records above, which one has the highest magnetization?
A: HfTcAs2Se